Record 1
Entry from the Alexandria database: an optimized crystal structure of AcTlCd3 (GGA-PBE).

The structure belongs to space group I-4m2 (No. 119); the cell edges are 5.421, 5.421 and 25.451 Å and the angles 90.00°, 90.00° and 90.00°. The asymmetric unit holds Ac at (0.000, 0.000, 0.000), Ac at (0.000, 0.500, 0.250), Tl at (0.000, 0.000, 0.333), Cd at (0.000, 0.249, 0.124) and Cd at (0.000, 0.500, 0.588).

The offset from the most stable computed form comes out at 0.3548 eV/atom. For the raw total energy, the calculation gives -33.88 eV for the cell shown. The volume comes out at 748 Å³ per cell. Its density of states at the Fermi level is 0.750 states/eV/atom. As for the total magnetization: 0.00 μB/cell.

=====

Record 2
Entry from the Alexandria database: an optimized crystal structure of CsZnF3 (GGA-PBE).

The structure belongs to space group R-3c (No. 167, hexagonal axes); the cell edges are 7.0247, 7.0247 and 17.0146 Å and the angles 90.00°, 90.00° and 120.00°. The asymmetric unit holds Cs at (0.0000, 0.0000, 0.0000), Zn at (0.0000, 0.0000, 0.2500) and F at (0.0000, 0.2650, 0.2500).

The uncorrected formation energy is -2.3882 eV per atom. For the raw total energy, the calculation gives -118.09 eV for the cell shown. The volume comes out at 727 Å³ per cell. Its density of states at the Fermi level is 0.000 states/eV/atom. As for the total magnetization: 0.00 μB/cell.

=====

Record 3
Entry from the Alexandria database: an optimized crystal structure of SrPrBiI (GGA-PBE).

The structure belongs to space group R-3m (No. 166, hexagonal axes); the cell edges are 5.0031, 5.0031 and 48.3390 Å and the angles 90.00°, 90.00° and 120.00°. The asymmetric unit holds Sr at (0.0000, 0.0000, 0.0932), Pr at (0.0000, 0.0000, 0.3097), Bi at (0.0000, 0.0000, 0.3849) and I at (0.0000, 0.0000, 0.2055).

The uncorrected formation energy is -1.0345 eV per atom. For the raw total energy, the calculation gives -96.18 eV for the cell shown. The volume comes out at 1048 Å³ per cell. Its density of states at the Fermi level is 0.483 states/eV/atom. As for the total magnetization: 2.06 μB/cell.

=====

Record 4
Entry from the Alexandria database: an optimized crystal structure of LaPmPb4 (GGA-PBE).

The structure belongs to space group R-3m (No. 166, hexagonal axes); the cell edges are 4.5369, 4.5369 and 34.4589 Å and the angles 90.00°, 90.00° and 120.00°. The asymmetric unit holds La at (0.0000, 0.0000, 0.0000), Pm at (0.0000, 0.0000, 0.5000), Pb at (0.0000, 0.0000, 0.1090) and Pb at (0.0000, 0.0000, 0.3947).

The offset from the most stable computed form comes out at 0.0000 eV/atom. For the raw total energy, the calculation gives -77.99 eV for the cell shown. The volume comes out at 614 Å³ per cell. Its density of states at the Fermi level is 0.820 states/eV/atom. As for the total magnetization: 0.00 μB/cell.

=====

Record 5
Entry from the Alexandria database: an optimized crystal structure of TbDy2TmO6 (GGA-PBE).

The structure belongs to space group R3 (No. 146, hexagonal axes); the cell edges are 5.7970, 5.7970 and 15.1434 Å and the angles 90.00°, 90.00° and 120.00°. The asymmetric unit holds Tb at (0.0000, 0.0000, 0.0000), Dy at (0.0000, 0.0000, 0.2811), Dy at (0.0000, 0.0000, 0.7827), Tm at (0.0000, 0.0000, 0.4971), O at (0.0005, 0.7109, 0.3916) and O at (0.0411, 0.3680, 0.5571).

The uncorrected formation energy is -3.5536 eV per atom. For the raw total energy, the calculation gives -250.77 eV for the cell shown. The volume comes out at 441 Å³ per cell. Its density of states at the Fermi level is 0.000 states/eV/atom. As for the total magnetization: 0.00 μB/cell.

=====

Record 6
Entry from the Alexandria database: an optimized crystal structure of Te2PbCl (GGA-PBE).

The structure belongs to space group Cm (No. 8); the cell edges are 10.553, 4.086 and 6.450 Å and the angles 90.00°, 103.84° and 90.00°. The asymmetric unit holds Te at (0.000, 0.000, 0.000), Te at (0.204, 0.000, 0.814), Pb at (0.078, 0.500, 0.413) and Cl at (0.336, 0.500, 0.390).

The uncorrected formation energy is -0.3974 eV per atom. The offset from the most stable computed form comes out at 0.0000 eV/atom. For the raw total energy, the calculation gives -26.86 eV for the cell shown. The volume comes out at 270 Å³ per cell. Its density of states at the Fermi level is 0.431 states/eV/atom. As for the total magnetization: 0.00 μB/cell.

=====

Record 7
Entry from the Alexandria database: an optimized crystal structure of InHgSe2 (GGA-PBE).

The structure belongs to space group C2/m (No. 12); the cell edges are 5.746, 11.884 and 2.965 Å and the angles 90.00°, 93.16° and 90.00°. The asymmetric unit holds In at (0.000, 0.000, 0.000), Hg at (0.000, 0.500, 0.000) and Se at (0.250, 0.250, 0.500).

The uncorrected formation energy is 0.1060 eV per atom. For the raw total energy, the calculation gives -19.17 eV for the cell shown. The volume comes out at 202 Å³ per cell. Its density of states at the Fermi level is 0.350 states/eV/atom. As for the total magnetization: 0.00 μB/cell.

=====

Record 8
Entry from the Alexandria database: an optimized crystal structure of ZrPaNi2As2 (GGA-PBE).

The structure belongs to space group P-3m1 (No. 164); the cell edges are 3.9773, 3.9773 and 7.5632 Å and the angles 90.00°, 90.00° and 120.00°. The asymmetric unit holds Zr at (0.0000, 0.0000, 0.0000), Pa at (0.0000, 0.0000, 0.5000), Ni at (0.3333, 0.6667, 0.2602) and As at (0.3333, 0.6667, 0.7673).

For the raw total energy, the calculation gives -44.09 eV for the cell shown. The volume comes out at 104 Å³ per cell. Its density of states at the Fermi level is 0.904 states/eV/atom. As for the total magnetization: 0.00 μB/cell.

=====

Record 9
Entry from the Alexandria database: an optimized crystal structure of Ba2LiCu (GGA-PBE).

The structure belongs to space group I-4m2 (No. 119); the cell edges are 4.863, 4.863 and 12.232 Å and the angles 90.00°, 90.00° and 90.00°. The asymmetric unit holds Ba at (0.000, 0.000, 0.000), Ba at (0.000, 0.500, 0.250), Li at (0.000, 0.000, 0.500) and Cu at (0.000, 0.500, 0.750).

For the raw total energy, the calculation gives -17.96 eV for the cell shown. The volume comes out at 289 Å³ per cell. Its density of states at the Fermi level is 1.142 states/eV/atom. As for the total magnetization: 0.81 μB/cell.

=====

Record 10
Entry from the Alexandria database: an optimized crystal structure of RbNaSb (GGA-PBE).

The structure belongs to space group I4mm (No. 107); the cell edges are 4.289, 4.289 and 12.609 Å and the angles 90.00°, 90.00° and 90.00°. The asymmetric unit holds Rb at (0.000, 0.000, 0.000), Na at (0.000, 0.000, 0.728) and Sb at (0.000, 0.000, 0.309).

The uncorrected formation energy is -0.2452 eV per atom. The offset from the most stable computed form comes out at 0.0477 eV/atom. For the raw total energy, the calculation gives -14.29 eV for the cell shown. The volume comes out at 232 Å³ per cell. Its density of states at the Fermi level is 0.506 states/eV/atom. As for the total magnetization: 0.00 μB/cell.

=====

Record 11
Entry from the Alexandria database: an optimized crystal structure of TaAgP2 (GGA-PBE).

The structure belongs to space group C2/m (No. 12); the cell edges are 8.454, 3.133 and 5.291 Å and the angles 90.00°, 93.94° and 90.00°. The asymmetric unit holds Ta at (0.000, 0.000, 0.000), Ag at (0.000, 0.500, 0.500) and P at (0.220, 0.500, 0.165).

The offset from the most stable computed form comes out at 0.1455 eV/atom. For the raw total energy, the calculation gives -51.03 eV for the cell shown. The volume comes out at 140 Å³ per cell. Its density of states at the Fermi level is 0.548 states/eV/atom. As for the total magnetization: 0.00 μB/cell.

=====

Record 12
Entry from the Alexandria database: an optimized crystal structure of YBeMo2 (GGA-PBE).

The structure belongs to space group Immm (No. 71); the cell edges are 3.348, 4.397 and 9.360 Å and the angles 90.00°, 90.00° and 90.00°. The asymmetric unit holds Y at (0.000, 0.000, 0.000), Be at (0.000, 0.000, 0.500) and Mo at (0.000, 0.500, 0.235).

For the raw total energy, the calculation gives -60.08 eV for the cell shown. The volume comes out at 138 Å³ per cell. Its density of states at the Fermi level is 1.131 states/eV/atom. As for the total magnetization: 0.00 μB/cell.

=====

Copy entry 8 word for word.
Entry from the Alexandria database: an optimized crystal structure of ZrPaNi2As2 (GGA-PBE).

The structure belongs to space group P-3m1 (No. 164); the cell edges are 3.9773, 3.9773 and 7.5632 Å and the angles 90.00°, 90.00° and 120.00°. The asymmetric unit holds Zr at (0.0000, 0.0000, 0.0000), Pa at (0.0000, 0.0000, 0.5000), Ni at (0.3333, 0.6667, 0.2602) and As at (0.3333, 0.6667, 0.7673).

For the raw total energy, the calculation gives -44.09 eV for the cell shown. The volume comes out at 104 Å³ per cell. Its density of states at the Fermi level is 0.904 states/eV/atom. As for the total magnetization: 0.00 μB/cell.

=====

Number 6 is which compound?
Te2PbCl

=====

Please write out number 7 again, unchanged.
Entry from the Alexandria database: an optimized crystal structure of InHgSe2 (GGA-PBE).

The structure belongs to space group C2/m (No. 12); the cell edges are 5.746, 11.884 and 2.965 Å and the angles 90.00°, 93.16° and 90.00°. The asymmetric unit holds In at (0.000, 0.000, 0.000), Hg at (0.000, 0.500, 0.000) and Se at (0.250, 0.250, 0.500).

The uncorrected formation energy is 0.1060 eV per atom. For the raw total energy, the calculation gives -19.17 eV for the cell shown. The volume comes out at 202 Å³ per cell. Its density of states at the Fermi level is 0.350 states/eV/atom. As for the total magnetization: 0.00 μB/cell.